# 1
# GdGaOs | the Alexandria database | PBE | relaxed
data_GdGaOs
_cell_length_a 4.3608
_cell_length_b 4.3608
_cell_length_c 3.6874
_cell_angle_alpha 90.00
_cell_angle_beta 90.00
_cell_angle_gamma 120.00
_symmetry_space_group_name_H-M 'P -6 m 2'
_symmetry_Int_Tables_number 187
_symmetry_space_group_name_Hall 'P -6 2'
loop_
_atom_site_label
_atom_site_type_symbol
_atom_site_fract_x
_atom_site_fract_y
_atom_site_fract_z
Gd1 Gd 0.0000 0.0000 0.0000
Ga1 Ga 0.3333 0.6667 0.5000
Os1 Os 0.6667 0.3333 0.5000
# **Total moment**: 2.335 μB per atom
# **Calculated formation energy**: -273 meV/atom

# 2
# GdGa2Os | the Alexandria database | PBE | relaxed
data_GdGa2Os
_cell_length_a 6.539
_cell_length_b 6.539
_cell_length_c 6.539
_cell_angle_alpha 90.00
_cell_angle_beta 90.00
_cell_angle_gamma 90.00
_symmetry_space_group_name_H-M 'F m -3 m'
_symmetry_Int_Tables_number 225
_symmetry_space_group_name_Hall '-F 4 2 3'
loop_
_atom_site_label
_atom_site_type_symbol
_atom_site_fract_x
_atom_site_fract_y
_atom_site_fract_z
Gd1 Gd 0.000 0.000 0.000
Ga1 Ga 0.250 0.250 0.250
Os1 Os 0.000 0.000 0.500
# **Total moment**: 1.739 μB per atom
# **Calculated formation energy**: -265 meV/atom